Entry from Alexandria via LeMat-Bulk: crystalline KTlCdAg at its relaxed geometry (PBE).

Computed properties:
- Space group: No. 160
- Size of the total moment: 0.00 μB/f.u.
- Final energy: -7.4 eV per cell
- Energy above the most stable polymorph in this dataset: 0.000 eV/f.u.
- Formation energy: -0.045 eV per atom

Cell and atoms, written as POSCAR:
```
KTlCdAg
1.0
2.482 1.433 6.040
-2.482 1.433 6.040
0.000 -2.866 6.040
K Tl Cd Ag
1 1 1 1
Direct
0.000 0.000 0.000
0.797 0.797 0.797
0.531 0.531 0.531
0.195 0.195 0.195
```

***

Entry from Alexandria via LeMat-Bulk: crystalline KTlCdAg at its relaxed geometry (PBE).

Computed properties:
- Space group: No. 216
- Size of the total moment: 0.00 μB/f.u.
- Final energy: -6.9 eV per cell
- Energy above the most stable polymorph in this dataset: 0.464 eV/f.u.
- Formation energy: 0.071 eV per atom

Cell and atoms, written as POSCAR:
```
KTlCdAg
1.0
0.000 3.850 3.850
3.850 0.000 3.850
3.850 3.850 0.000
K Tl Cd Ag
1 1 1 1
Direct
0.000 0.000 0.000
0.500 0.500 0.500
0.250 0.250 0.250
0.750 0.750 0.750
```

***

Entry from Alexandria via LeMat-Bulk: crystalline K2TlCd2Ag at its relaxed geometry (PBE).

Computed properties:
- Space group: No. 72
- Size of the total moment: 0.00 μB/f.u.
- Final energy: -19.0 eV per cell
- Formation energy: -0.039 eV per atom

Cell and atoms, written as POSCAR:
```
K2TlCd2Ag
1.0
-3.912 7.752 3.498
3.912 -7.752 3.498
3.912 7.752 -3.498
K Tl Cd Ag
4 2 4 2
Direct
0.167 0.231 0.398
0.333 0.731 0.063
0.667 0.269 0.937
0.833 0.769 0.602
0.250 0.750 0.500
0.750 0.250 0.500
0.092 0.773 0.865
0.408 0.273 0.682
0.592 0.727 0.318
0.908 0.227 0.135
0.250 0.250 0.000
0.750 0.750 0.000
```

***

Entry from Alexandria via LeMat-Bulk: crystalline K2TlCd5Ag2 at its relaxed geometry (PBE).

Computed properties:
- Space group: No. 127
- Size of the total moment: 0.00 μB/f.u.
- Final energy: -29.9 eV per cell
- Formation energy: -0.009 eV per atom

Cell and atoms, written as POSCAR:
```
K2TlCd5Ag2
1.0
11.968 0.000 0.000
0.000 11.968 0.000
0.000 0.000 3.889
K Tl Cd Ag
4 2 10 4
Direct
0.178 0.322 0.000
0.322 0.822 0.000
0.678 0.178 0.000
0.822 0.678 0.000
0.000 0.000 0.000
0.500 0.500 0.000
0.000 0.500 0.500
0.060 0.794 0.500
0.206 0.060 0.500
0.294 0.560 0.500
0.440 0.294 0.500
0.500 0.000 0.500
0.560 0.706 0.500
0.706 0.440 0.500
0.794 0.940 0.500
0.940 0.206 0.500
0.124 0.624 0.000
0.376 0.124 0.000
0.624 0.876 0.000
0.876 0.376 0.000
```

***

Entry from Alexandria via LeMat-Bulk: crystalline KTlCd3Ag at its relaxed geometry (PBE).

Computed properties:
- Space group: No. 15
- Size of the total moment: 0.00 μB/f.u.
- Final energy: -18.1 eV per cell
- Formation energy: 0.004 eV per atom

Cell and atoms, written as POSCAR:
```
KTlCd3Ag
1.0
3.579 -8.829 0.000
3.579 8.829 0.000
-0.922 0.000 5.557
K Tl Cd Ag
2 2 6 2
Direct
0.248 0.752 0.750
0.752 0.248 0.250
0.363 0.637 0.250
0.637 0.363 0.750
0.118 0.882 0.250
0.283 0.354 0.603
0.354 0.283 0.103
0.646 0.717 0.897
0.717 0.646 0.397
0.882 0.118 0.750
0.056 0.944 0.750
0.944 0.056 0.250
```

***

Entry from Alexandria via LeMat-Bulk: crystalline KTl6CdAg at its relaxed geometry (PBE).

Computed properties:
- Space group: No. 74
- Size of the total moment: 0.00 μB/f.u.
- Final energy: -36.3 eV per cell
- Formation energy: 0.099 eV per atom

Cell and atoms, written as POSCAR:
```
KTl6CdAg
1.0
-3.160 5.917 8.582
3.160 -5.917 8.582
3.160 5.917 -8.582
K Tl Cd Ag
2 12 2 2
Direct
0.358 0.108 0.250
0.642 0.892 0.750
0.139 0.410 0.232
0.139 0.907 0.729
0.153 0.903 0.250
0.201 0.451 0.750
0.322 0.093 0.732
0.322 0.590 0.229
0.678 0.410 0.771
0.678 0.907 0.268
0.799 0.549 0.250
0.847 0.097 0.750
0.861 0.093 0.271
0.861 0.590 0.768
0.000 0.500 0.500
0.500 0.500 0.000
0.000 0.000 0.500
0.000 0.500 0.000
```